No. 1
TbSm3Th2Bi6 | PBE-GGA | optimized geometry

Lattice parameters (Å, degrees): 4.569 9.117 10.202 102.95 102.94 90.00
Atoms (fractional coordinates):
Tb (0.500, 0.000, 0.000)
Bi (0.333, 0.415, 0.667)
Bi (0.335, 0.920, 0.669)
Bi (0.001, 0.754, 0.003)
Bi (0.999, 0.246, 0.997)
Bi (0.667, 0.585, 0.333)
Bi (0.665, 0.080, 0.331)
Sm (0.833, 0.166, 0.666)
Sm (0.167, 0.834, 0.334)
Sm (0.500, 0.500, 0.000)
Th (0.835, 0.669, 0.670)
Th (0.165, 0.331, 0.330)

## Properties
DOS(E_F) (states/eV/cell): 5.06
Energy of formation from the pure elements (eV/atom): -0.806
Total magnetic moment (Bohr magnetons per cell): 0.000
SG: C2/m
Raw total energy (eV/atom): -5.55

---

No. 2
Zr3CdC | PBE-GGA | optimized geometry

Lattice parameters (Å, degrees): 11.821 8.366 8.366 78.37 123.60 56.40
Atoms (fractional coordinates):
Cd (0.938, 0.486, 0.634)
Cd (0.062, 0.514, 0.366)
Cd (0.562, 0.134, 0.986)
Cd (0.438, 0.866, 0.014)
C (0.250, 0.814, 0.314)
C (0.250, 0.552, 0.052)
C (0.750, 0.186, 0.686)
C (0.750, 0.448, 0.948)
Zr (0.566, 0.870, 0.760)
Zr (0.408, 0.657, 0.722)
Zr (0.595, 0.590, 0.545)
Zr (0.405, 0.410, 0.455)
Zr (0.092, 0.222, 0.157)
Zr (0.066, 0.740, 0.630)
Zr (0.908, 0.778, 0.843)
Zr (0.434, 0.130, 0.240)
Zr (0.592, 0.343, 0.278)
Zr (0.095, 0.955, 0.910)
Zr (0.934, 0.260, 0.370)
Zr (0.905, 0.045, 0.090)

## Properties
DOS(E_F) (states/eV/cell): 14.20
Energy of formation from the pure elements (eV/atom): -0.369
Total magnetic moment (Bohr magnetons per cell): 0.000
SG: C2/c
Raw total energy (eV/atom): -7.53
Distance to the lowest polymorph of the same formula (meV per atom): 60

---

No. 3
CsNaSr4 | PBE-GGA | optimized geometry

Lattice parameters (Å, degrees): 8.196 8.196 8.196 60.00 60.00 60.00
Atoms (fractional coordinates):
Na (0.000, 0.000, 0.000)
Cs (0.250, 0.250, 0.250)
Sr (0.124, 0.625, 0.625)
Sr (0.625, 0.625, 0.625)
Sr (0.625, 0.124, 0.625)
Sr (0.625, 0.625, 0.124)

## Properties
DOS(E_F) (states/eV/cell): 3.86
Energy of formation from the pure elements (eV/atom): 0.188
Total magnetic moment (Bohr magnetons per cell): 0.000
SG: F-43m
Raw total energy (eV/atom): -1.30

---

No. 4
CaPb2 | PBE-GGA | optimized geometry

Lattice parameters (Å, degrees): 5.269 5.269 5.269 60.00 60.00 60.00
Atoms (fractional coordinates):
Pb (0.250, 0.250, 0.250)
Pb (0.750, 0.750, 0.750)
Ca (0.000, 0.000, 0.000)

## Properties
DOS(E_F) (states/eV/cell): 0.58
Energy of formation from the pure elements (eV/atom): -0.124
Total magnetic moment (Bohr magnetons per cell): 0.000
SG: Fm-3m
Raw total energy (eV/atom): -3.26